i | Material: In2AgAs
Method: DFT, PBE
State: relaxed

Cell: 6.976 6.976 6.857 Å, 59.43 59.43 90.00°
Sites, in units of the cell vectors:
As 0.500 0.500 0.000
As 0.250 0.750 0.500
Ag 0.000 0.000 0.000
Ag 0.750 0.250 0.500
In 0.614 0.125 0.250
In 0.136 0.625 0.250
In 0.375 0.386 0.750
In 0.875 0.864 0.750


ii | Material: In2AgAs
Method: DFT, PBE
State: relaxed

Cell: 3.245 3.245 8.632 Å, 90.00 90.00 90.00°
Sites, in units of the cell vectors:
As 0.500 0.500 0.720
Ag 0.000 0.000 0.517
In 0.000 0.000 0.981
In 0.500 0.500 0.281


Relative stability in meV/atom, measured from the most stable structure: i 24; ii 0


i | Material: In2AgAs
Method: DFT, PBE
State: relaxed

Cell: 5.720 5.720 5.524 Å, 74.46 74.46 31.28°
Sites, in units of the cell vectors:
As 0.778 0.778 0.786
Ag 0.479 0.479 0.449
In 0.014 0.014 0.951
In 0.229 0.229 0.314


ii | Material: In2AgAs
Method: DFT, PBE
State: relaxed

Cell: 7.486 5.379 3.139 Å, 88.11 68.16 125.97°
Sites, in units of the cell vectors:
As 0.500 0.500 0.000
Ag 0.000 0.500 0.500
In 0.000 0.000 0.000
In 0.500 0.000 0.500


Relative stability in meV/atom, measured from the most stable structure: i 0; ii 26